VASP calculation (SCAN) on Ca3CuB at its PBEsol-relaxed geometry.

energy of formation = 0.8369 eV/atom
SG = Pm-3m

Cell lengths 5.2665, 5.2665, 5.2665 Å; angles 90.00, 90.00, 90.00 degrees
Positions (direct):
1 Ca 0.0000 0.5000 0.0000
2 Ca 0.0000 0.0000 0.5000
3 Ca 0.5000 0.0000 0.0000
4 B 0.5000 0.5000 0.5000
5 Cu 0.0000 0.0000 0.0000

VASP calculation (SCAN) on Be3Ir at its PBEsol-relaxed geometry.

energy of formation = 0.0090 eV/atom
SG = R-3m

Cell lengths 2.6271, 2.6271, 7.4109 Å; angles 79.79, 79.79, 60.00 degrees
Positions (direct):
1 Be 0.7504 0.7504 0.7489
2 Be 0.5000 0.5000 0.5000
3 Be 0.2496 0.2496 0.2511
4 Ir 0.0000 0.0000 0.0000

VASP calculation (SCAN) on Li2Ti3O7 at its PBEsol-relaxed geometry.

excess energy over the best structure of this formula in the dataset = 3 meV per atom
SG = P2_1/m
raw formation energy = -3.038 eV/atom

Cell lengths 3.7525, 7.5844, 9.3924 Å; angles 96.34, 90.00, 90.00 degrees
Positions (direct):
1 Li 0.2500 0.6997 0.5552
2 Li 0.2500 0.4968 0.1954
3 Li 0.7500 0.5032 0.8046
4 Li 0.7500 0.3003 0.4448
5 Ti 0.7500 0.8396 0.0312
6 Ti 0.7500 0.9479 0.7256
7 Ti 0.7500 0.7321 0.3401
8 Ti 0.2500 0.2679 0.6599
9 Ti 0.2500 0.0521 0.2744
10 Ti 0.2500 0.1604 0.9688
11 O 0.2500 0.9086 0.0551
12 O 0.2500 0.0064 0.7523
13 O 0.7500 0.8220 0.5541
14 O 0.2500 0.7947 0.3407
15 O 0.7500 0.6494 0.1287
16 O 0.7500 0.7550 0.8408
17 O 0.7500 0.5128 0.3679
18 O 0.2500 0.4872 0.6321
19 O 0.2500 0.2450 0.1592
20 O 0.2500 0.3506 0.8713
21 O 0.7500 0.2053 0.6593
22 O 0.2500 0.1780 0.4459
23 O 0.7500 0.9936 0.2477
24 O 0.7500 0.0914 0.9449

VASP calculation (SCAN) on ZrZn2In at its PBEsol-relaxed geometry.

energy of formation = -0.1859 eV/atom
SG = P4mm

Cell lengths 3.1559, 3.1559, 7.2051 Å; angles 90.00, 90.00, 90.00 degrees
Positions (direct):
1 In 0.5000 0.5000 0.7747
2 Zn 0.0000 0.0000 0.0363
3 Zn 0.5000 0.5000 0.2186
4 Zr 0.0000 0.0000 0.4704

VASP calculation (SCAN) on CuSiRh2 at its PBEsol-relaxed geometry.

SG = Fm-3m
raw formation energy = -0.624 eV/atom

Cell lengths 4.1174, 4.1174, 4.1174 Å; angles 60.00, 60.00, 60.00 degrees
Positions (direct):
1 Si 0.5000 0.5000 0.5000
2 Rh 0.2500 0.2500 0.2500
3 Rh 0.7500 0.7500 0.7500
4 Cu 0.0000 0.0000 0.0000

VASP calculation (SCAN) on LaFe3 at its PBEsol-relaxed geometry.

energy of formation = 0.4759 eV/atom
SG = Immm

Cell lengths 3.2070, 4.3169, 5.1902 Å; angles 114.57, 108.00, 90.00 degrees
Positions (direct):
1 Fe 0.7665 0.7665 0.5329
2 Fe 0.5000 0.0000 0.0000
3 Fe 0.2335 0.2335 0.4671
4 La 0.0000 0.5000 0.0000

VASP calculation (SCAN) on Ba4MnMo at its PBEsol-relaxed geometry.

energy of formation = 1.1495 eV/atom
SG = F-43m

Cell lengths 6.8998, 6.8998, 6.8998 Å; angles 60.00, 60.00, 60.00 degrees
Positions (direct):
1 Ba 0.3747 0.3747 0.3747
2 Ba 0.3747 0.3747 0.8758
3 Ba 0.8758 0.3747 0.3747
4 Ba 0.3747 0.8758 0.3747
5 Mn 0.7500 0.7500 0.7500
6 Mo 0.0000 0.0000 0.0000

VASP calculation (SCAN) on RbHfGeBr2 at its PBEsol-relaxed geometry.

SG = P4/mmm
raw formation energy = 0.971 eV/atom

Cell lengths 5.6679, 5.6679, 5.6455 Å; angles 90.00, 90.00, 90.00 degrees
Positions (direct):
1 Ge 0.0000 0.0000 0.5000
2 Hf 0.5000 0.5000 0.5000
3 Br 0.0000 0.5000 0.0000
4 Br 0.5000 0.0000 0.0000
5 Rb 0.0000 0.0000 0.0000

VASP calculation (SCAN) on LaCu2 at its PBEsol-relaxed geometry.

energy of formation = -0.2167 eV/atom
SG = I4_1/amd

Cell lengths 3.9674, 3.9674, 8.1249 Å; angles 104.13, 104.13, 90.00 degrees
Positions (direct):
1 Cu 0.4194 0.4194 0.8387
2 Cu 0.8306 0.3306 0.6613
3 Cu 0.5806 0.5806 0.1613
4 Cu 0.6694 0.1694 0.3387
5 La 0.0000 0.0000 0.0000
6 La 0.2500 0.7500 0.5000

VASP calculation (SCAN) on K4ZnP2 at its PBEsol-relaxed geometry.

excess energy over the best structure of this formula in the dataset = 116 meV per atom
energy of formation = -0.4000 eV/atom
SG = P2_1

Cell lengths 6.1775, 8.4930, 11.2947 Å; angles 90.00, 90.00, 110.97 degrees
Positions (direct):
1 K 0.9796 0.8870 0.2645
2 K 0.0204 0.1130 0.7645
3 K 0.0463 0.3737 0.2192
4 K 0.9537 0.6263 0.7192
5 K 0.5410 0.3286 0.9423
6 K 0.4590 0.6714 0.4423
7 K 0.5346 0.1933 0.5519
8 K 0.4654 0.8067 0.0519
9 P 0.5372 0.0117 0.2989
10 P 0.4628 0.9883 0.7989
11 P 0.6032 0.5218 0.1965
12 P 0.3968 0.4782 0.6965
13 Zn 0.5247 0.2579 0.2498
14 Zn 0.4753 0.7421 0.7498

VASP calculation (SCAN) on Tb12Co5Bi at its PBEsol-relaxed geometry.

energy of formation = -0.2366 eV/atom
SG = Immm

Cell lengths 8.2015, 8.2015, 8.2015 Å; angles 72.91, 69.16, 110.51 degrees
Positions (direct):
1 Tb 0.5241 0.8156 0.2915
2 Tb 0.4759 0.1844 0.7085
3 Tb 0.8929 0.1844 0.2915
4 Tb 0.1071 0.8156 0.7085
5 Tb 0.6914 0.3117 0.9969
6 Tb 0.3086 0.6883 0.0031
7 Tb 0.3086 0.3117 0.3797
8 Tb 0.6914 0.6883 0.6203
9 Tb 0.8068 0.0102 0.7966
10 Tb 0.1932 0.9898 0.2034
11 Tb 0.1932 0.3967 0.7966
12 Tb 0.8068 0.6033 0.2034
13 Co 0.6227 0.6227 0.0000
14 Co 0.3773 0.3773 0.0000
15 Co 0.5000 0.8881 0.6119
16 Co 0.5000 0.1119 0.3881
17 Co 0.0000 0.0000 0.0000
18 Bi 0.0000 0.5000 0.5000

VASP calculation (SCAN) on Nb2RuCI at its PBEsol-relaxed geometry.

SG = P4/mmm
raw formation energy = 3.026 eV/atom

Cell lengths 4.6317, 4.9697, 4.9697 Å; angles 90.00, 90.00, 90.00 degrees
Positions (direct):
1 I 0.0000 0.0000 0.0000
2 Ru 0.5000 0.0000 0.0000
3 Nb 0.0000 0.0000 0.5000
4 Nb 0.0000 0.5000 0.0000
5 C 0.5000 0.5000 0.5000

VASP calculation (SCAN) on Zr3Cu4Si4 at its PBEsol-relaxed geometry.

SG = Immm
raw formation energy = -0.633 eV/atom

Cell lengths 3.9070, 6.3271, 7.4846 Å; angles 115.00, 105.13, 90.00 degrees
Positions (direct):
1 Cu 0.6695 0.4777 0.3390
2 Cu 0.3305 0.5223 0.6610
3 Cu 0.3305 0.1387 0.6610
4 Cu 0.6695 0.8613 0.3390
5 Si 0.7843 0.2843 0.5686
6 Si 0.2157 0.7157 0.4314
7 Si 0.5000 0.8085 0.0000
8 Si 0.5000 0.1915 0.0000
9 Zr 0.0000 0.5000 0.0000
10 Zr 0.8752 0.8752 0.7504
11 Zr 0.1248 0.1248 0.2496

VASP calculation (SCAN) on CoRh2W at its PBEsol-relaxed geometry.

excess energy over the best structure of this formula in the dataset = 0 meV per atom
energy of formation = -0.1716 eV/atom
SG = I4/mmm

Cell lengths 3.7649, 3.7649, 4.5722 Å; angles 114.31, 114.31, 90.00 degrees
Positions (direct):
1 Rh 0.7500 0.2500 0.5000
2 Rh 0.2500 0.7500 0.5000
3 Co 0.5000 0.5000 0.0000
4 W 0.0000 0.0000 0.0000

VASP calculation (SCAN) on TaTeRu at its PBEsol-relaxed geometry.

SG = F-43m
raw formation energy = 0.296 eV/atom

Cell lengths 4.4120, 4.4120, 4.4120 Å; angles 60.00, 60.00, 60.00 degrees
Positions (direct):
1 Ru 0.5000 0.5000 0.5000
2 Ta 0.2500 0.2500 0.2500
3 Te 0.0000 0.0000 0.0000

VASP calculation (SCAN) on AlZnPb at its PBEsol-relaxed geometry.

energy of formation = 0.2312 eV/atom
SG = I4mm

Cell lengths 3.4130, 3.4134, 5.9113 Å; angles 106.78, 106.78, 90.00 degrees
Positions (direct):
1 Pb 0.6680 0.6680 0.3360
2 Zn 0.3604 0.3604 0.7207
3 Al 0.9716 0.9716 0.9432

VASP calculation (SCAN) on KNa3Ag at its PBEsol-relaxed geometry.

energy of formation = 0.0459 eV/atom
SG = Pm-3m

Cell lengths 5.7819, 5.7819, 5.7819 Å; angles 90.00, 90.00, 90.00 degrees
Positions (direct):
1 Na 0.0000 0.5000 0.0000
2 Na 0.0000 0.0000 0.5000
3 Na 0.5000 0.0000 0.0000
4 K 0.5000 0.5000 0.5000
5 Ag 0.0000 0.0000 0.0000

VASP calculation (SCAN) on BaMnIr2 at its PBEsol-relaxed geometry.

excess energy over the best structure of this formula in the dataset = 492 meV per atom
energy of formation = 0.2423 eV/atom
SG = Pmm2

Cell lengths 2.8894, 3.7023, 7.3184 Å; angles 90.00, 90.00, 90.00 degrees
Positions (direct):
1 Ba 0.5000 0.5000 0.7649
2 Ir 0.0000 0.0000 0.0722
3 Ir 0.5000 0.5000 0.2553
4 Mn 0.0000 0.0000 0.4076

VASP calculation (SCAN) on MgZrBeH2 at its PBEsol-relaxed geometry.

E_tot = -42.928 eV/cell
SG = P4/mmm

Cell lengths 3.5465, 3.5465, 7.2204 Å; angles 90.00, 90.00, 90.00 degrees
Positions (direct):
1 Be 0.5000 0.5000 0.5000
2 Mg 0.0000 0.0000 0.0000
3 Zr 0.0000 0.0000 0.5000
4 H 0.0000 0.5000 0.0000
5 H 0.5000 0.0000 0.0000

VASP calculation (SCAN) on CuPt2W at its PBEsol-relaxed geometry.

excess energy over the best structure of this formula in the dataset = 286 meV per atom
energy of formation = -0.0258 eV/atom
SG = R3m

Cell lengths 2.7418, 2.7418, 9.0087 Å; angles 81.25, 81.25, 60.00 degrees
Positions (direct):
1 Cu 0.2501 0.2501 0.2498
2 Pt 0.9960 0.9960 0.0121
3 Pt 0.7524 0.7524 0.7428
4 W 0.5016 0.5016 0.4952